A geometry-optimized Hf2AlCo structure, computed with GGA-PBE.

Geometry as POSCAR:
```
Hf2AlCo
1.0
-7.030 0.157 1.813
-0.504 -7.120 -1.337
-3.083 -4.037 2.937
Hf Al Co
4 2 2
Cartesian
-8.931 -9.485 2.550 Hf
-5.588 -1.793 1.793 Hf
-5.112 -5.274 2.449 Hf
-1.604 -5.448 0.032 Hf
-3.767 -3.481 0.238 Al
-3.677 -7.319 0.919 Al
0.000 0.000 0.000 Co
-6.940 -3.681 2.494 Co
```

## Properties
* D(E_F): 5.28 states/eV/cell
* E: -7.61 eV per atom

A geometry-optimized Hf2Al2Co3 structure, computed with GGA-PBE.

Geometry as POSCAR:
```
Hf2Al2Co3
1.0
4.168 -0.007 -1.166
-2.252 3.714 -0.003
-0.302 -0.185 6.977
Hf Co Al
2 3 2
Cartesian
-0.689 2.121 5.607 Hf
2.303 1.401 0.202 Hf
0.306 2.729 1.094 Co
1.308 0.793 4.715 Co
0.000 0.000 0.000 Co
0.681 0.415 2.441 Al
0.933 3.107 3.367 Al
```

## Properties
* D(E_F): 2.45 states/eV/cell
* E: -7.42 eV per atom

A geometry-optimized HfAl2Co structure, computed with GGA-PBE.

Geometry as POSCAR:
```
HfAl2Co
1.0
0.000 3.138 3.138
3.138 0.000 3.138
3.138 3.138 0.000
Al Hf Co
2 1 1
Cartesian
4.706 4.706 4.706 Al
1.569 1.569 1.569 Al
3.138 3.138 3.138 Hf
0.000 0.000 0.000 Co
```

## Properties
* D(E_F): 2.01 states/eV/cell
* E: -6.28 eV per atom

A geometry-optimized HfAlCo structure, computed with GGA-PBE.

Geometry as POSCAR:
```
HfAlCo
1.0
-4.648 0.837 1.587
-1.050 -5.040 3.729
1.007 2.819 5.608
Co Hf Al
4 4 4
Cartesian
-3.556 2.758 6.232 Co
-4.585 -1.171 5.293 Co
-1.134 -4.143 4.692 Co
-0.105 -0.213 5.632 Co
-3.826 -0.815 2.974 Hf
-3.847 -1.926 7.643 Hf
-0.843 0.542 3.281 Hf
-0.865 -0.569 7.950 Hf
-3.857 -3.440 4.736 Al
-1.863 -1.873 5.249 Al
-2.828 0.489 5.675 Al
-0.834 2.056 6.189 Al
```

## Properties
* D(E_F): 9.35 states/eV/cell
* E: -7.33 eV per atom

Q: What is the D(E_F) in the fourth record?
A: 9.35 states/eV/cell